Entry from OQMD via LeMat-Bulk: a relaxed Np3P4 crystal (GGA-PBE).

It has space group C2/m (No. 12), with a = 12.918 Å, b = 4.398 Å, c = 5.355 Å, α = 90.00°, β = 105.72° and γ = 90.00°. Symmetry generates all atoms from Np at (0.000, 0.000, 0.000), Np at (0.214, 0.500, 0.679), P at (0.087, 0.000, 0.571) and P at (0.147, 0.500, 0.119).

Its crystal system is monoclinic. As for the electronic total energy: -9.2621 eV per atom. The calculation puts the total magnetization at 10.884 μB per formula unit.

***

Entry from OQMD via LeMat-Bulk: a relaxed NpP crystal (GGA-PBE).

It has space group Pmma (No. 51), with a = 5.536 Å, b = 5.367 Å, c = 5.343 Å, α = 90.00°, β = 90.00° and γ = 90.00°. Symmetry generates all atoms from Np at (0.000, 0.000, 0.000), Np at (0.250, 0.500, 0.414), P at (0.250, 0.000, 0.490) and P at (0.250, 0.500, 0.905).

Its crystal system is orthorhombic. As for the electronic total energy: -9.5815 eV per atom. The calculation puts the total magnetization at 3.989 μB per formula unit.

***

Entry from OQMD via LeMat-Bulk: a relaxed NpP4 crystal (GGA-PBE).

It has space group C2/c (No. 15), with a = 5.329 Å, b = 13.363 Å, c = 6.253 Å, α = 90.00°, β = 112.39° and γ = 90.00°. Symmetry generates all atoms from Np at (0.000, 0.049, 0.250), P at (0.218, 0.377, 0.304) and P at (0.225, 0.276, 0.820).

Its crystal system is monoclinic. As for the electronic total energy: -7.0275 eV per atom. The calculation puts the total magnetization at 4.385 μB per formula unit.

***

Entry from OQMD via LeMat-Bulk: a relaxed PrNp2P3 crystal (GGA-PBE).

It has space group P-3m1 (No. 164), with a = 4.0372 Å, b = 4.0372 Å, c = 9.8840 Å, α = 90.00°, β = 90.00° and γ = 120.00°. Symmetry generates all atoms from Pr at (0.0000, 0.0000, 0.0000), Np at (0.3333, 0.6667, 0.3388), P at (0.0000, 0.0000, 0.5000) and P at (0.3333, 0.6667, 0.8163).

Its crystal system is trigonal. As for the electronic total energy: -8.8887 eV per atom. The calculation puts the total magnetization at 7.469 μB per formula unit.

***

Entry from OQMD via LeMat-Bulk: a relaxed Pr2NpP3 crystal (GGA-PBE).

It has space group P-3m1 (No. 164), with a = 4.1174 Å, b = 4.1174 Å, c = 10.1524 Å, α = 90.00°, β = 90.00° and γ = 120.00°. Symmetry generates all atoms from Pr at (0.3333, 0.6667, 0.3310), Np at (0.0000, 0.0000, 0.0000), P at (0.0000, 0.0000, 0.5000) and P at (0.3333, 0.6667, 0.8500).

Its crystal system is trigonal. As for the electronic total energy: -7.7424 eV per atom. The calculation puts the total magnetization at 3.635 μB per formula unit.

***

Entry from OQMD via LeMat-Bulk: a relaxed Rb2NpP2 crystal (GGA-PBE).

It has space group Cmcm (No. 63), with a = 7.034 Å, b = 17.542 Å, c = 5.585 Å, α = 90.00°, β = 90.00° and γ = 90.00°. Symmetry generates all atoms from Rb at (0.000, 0.103, 0.250), Rb at (0.000, 0.274, 0.750), Np at (0.000, 0.500, 0.000) and P at (0.162, 0.376, 0.250).

Its crystal system is orthorhombic. As for the electronic total energy: -5.3437 eV per atom. The calculation puts the total magnetization at 4.570 μB per formula unit.

***

Entry from OQMD via LeMat-Bulk: a relaxed NpPS4 crystal (GGA-PBE).

It has space group I4_1/acd (No. 142, origin choice 2), with a = 10.918 Å, b = 10.918 Å, c = 18.977 Å, α = 90.00°, β = 90.00° and γ = 90.00°. Symmetry generates all atoms from Np at (0.000, 0.250, 0.125), Np at (0.000, 0.250, 0.375), P at (0.037, 0.000, 0.250), S at (0.067, 0.004, 0.840) and S at (0.090, 0.115, 0.003).

Its crystal system is tetragonal. As for the electronic total energy: -6.5419 eV per atom. The calculation puts the total magnetization at 3.998 μB per formula unit.

***

Entry from OQMD via LeMat-Bulk: a relaxed NpPS crystal (GGA-PBE).

It has space group I4/mmm (No. 139), with a = 3.778 Å, b = 3.778 Å, c = 15.718 Å, α = 90.00°, β = 90.00° and γ = 90.00°. Symmetry generates all atoms from Np at (0.000, 0.000, 0.136), P at (0.000, 0.500, 0.000) and S at (0.000, 0.000, 0.317).

Its crystal system is tetragonal. As for the electronic total energy: -8.5795 eV per atom. The calculation puts the total magnetization at 3.428 μB per formula unit.

***

> Look up the electronic total energy of the seventh one.

-6.5419 eV per atom

***

> Among the records above, which one has the lowest electronic total energy?

NpP